[1]
A plane-wave DFT calculation with PBE-GGA was carried out for a geometry-optimized Hf3MgS structure.

Cell and atoms, written as POSCAR:
```
Hf3MgS
1.0
4.791 0.000 0.000
0.000 4.791 0.000
0.000 0.000 4.791
Hf Mg S
3 1 1
Cartesian
0.000 0.000 2.396
0.000 2.396 0.000
2.396 0.000 0.000
2.396 2.396 2.396
0.000 0.000 0.000
```

Energy relative to the lowest polymorph listed for this composition   0 meV/atom
Space-group type   Pm-3m (221)
Formation energy without anion corrections   -0.3012 eV/atom
DOS at the Fermi energy   2.393 states/eV/f.u.

***

[2]
A plane-wave DFT calculation with PBE-GGA was carried out for a geometry-optimized Li4TlCr structure.

Cell and atoms, written as POSCAR:
```
Li4TlCr
1.0
0.000 3.697 3.697
3.697 0.000 3.697
3.697 3.697 0.000
Li Tl Cr
4 1 1
Cartesian
0.927 0.927 0.927
2.771 2.771 0.927
2.771 0.927 2.771
0.927 2.771 2.771
5.546 5.546 5.546
3.697 3.697 3.697
```

Space-group type   F-43m (216)
DOS at the Fermi energy   2.794 states/eV/f.u.
DFT formation energy   0.16 eV/atom

***

[3]
A plane-wave DFT calculation with PBE-GGA was carried out for a geometry-optimized Dy2YSe4 structure.

Cell and atoms, written as POSCAR:
```
Dy2YSe4
1.0
7.550 -2.050 0.000
7.550 2.050 0.000
-3.203 0.000 6.387
Dy Y Se
2 1 4
Cartesian
2.816 0.000 1.429
9.081 0.000 4.958
5.949 0.000 3.194
0.474 0.000 3.133
5.510 0.000 0.360
6.387 0.000 6.027
11.423 0.000 3.254
```

Space-group type   C2/m (12)
Formation energy without anion corrections   -1.8341 eV/atom
DOS at the Fermi energy   2.885 states/eV/f.u.

***

Q: Which E values were calculated for the entries above? A: -7.418; -3.118; -6.064, in eV per atom.
Q: Which volume values were calculated for the entries above? A: 110.0; 101.1; 197.7, in Å³/cell.